(1)
Compound: KErHgSe3
Source: OQMD via LeMat-Bulk
Functional: PBE
Structure: relaxed

Summary:
The value obtained for the calculated volume is 174 Å³/f.u.

a = 9.437 Å, b = 9.437 Å, c = 9.293 Å
α = 102.32°, β = 102.32°, γ = 25.53°
Sites, in units of the cell vectors:
K 0.142 0.142 0.070
K 0.858 0.858 0.930
Er 0.174 0.174 0.581
Er 0.826 0.826 0.419
Hg 0.481 0.481 0.277
Hg 0.519 0.519 0.723
Se 0.000 0.000 0.500
Se 0.328 0.328 0.211
Se 0.330 0.330 0.630
Se 0.500 0.500 0.000
Se 0.670 0.670 0.370
Se 0.672 0.672 0.789

---

(2)
Compound: Mg5TaB3O12
Source: OQMD via LeMat-Bulk
Functional: PBE
Structure: relaxed

Summary:
The value obtained for the calculated volume is 203 Å³/f.u.

a = 9.335 Å, b = 9.339 Å, c = 9.295 Å
α = 90.00°, β = 90.00°, γ = 90.00°
Sites, in units of the cell vectors:
Mg 0.099 0.075 0.180
Mg 0.099 0.425 0.180
Mg 0.103 0.750 0.192
Mg 0.124 0.085 0.573
Mg 0.124 0.415 0.573
Mg 0.376 0.585 0.073
Mg 0.376 0.915 0.073
Mg 0.397 0.250 0.692
Mg 0.401 0.575 0.680
Mg 0.401 0.925 0.680
Mg 0.599 0.075 0.320
Mg 0.599 0.425 0.320
Mg 0.603 0.750 0.308
Mg 0.624 0.085 0.927
Mg 0.624 0.415 0.927
Mg 0.876 0.585 0.427
Mg 0.876 0.915 0.427
Mg 0.897 0.250 0.808
Mg 0.901 0.575 0.820
Mg 0.901 0.925 0.820
Ta 0.100 0.750 0.589
Ta 0.400 0.250 0.089
Ta 0.600 0.750 0.911
Ta 0.900 0.250 0.411
B 0.172 0.089 0.874
B 0.172 0.411 0.874
B 0.179 0.750 0.872
B 0.321 0.250 0.372
B 0.328 0.589 0.374
B 0.328 0.911 0.374
B 0.672 0.089 0.626
B 0.672 0.411 0.626
B 0.679 0.750 0.628
B 0.821 0.250 0.128
B 0.828 0.589 0.126
B 0.828 0.911 0.126
O 0.011 0.082 0.380
O 0.011 0.418 0.380
O 0.021 0.750 0.395
O 0.027 0.089 0.873
O 0.027 0.411 0.873
O 0.036 0.750 0.839
O 0.236 0.250 0.246
O 0.236 0.750 0.006
O 0.243 0.093 0.009
O 0.243 0.407 0.009
O 0.248 0.583 0.249
O 0.248 0.917 0.249
O 0.252 0.083 0.749
O 0.252 0.417 0.749
O 0.257 0.593 0.509
O 0.257 0.907 0.509
O 0.264 0.250 0.506
O 0.264 0.750 0.746
O 0.464 0.250 0.339
O 0.473 0.589 0.373
O 0.473 0.911 0.373
O 0.479 0.250 0.895
O 0.489 0.582 0.880
O 0.489 0.918 0.880
O 0.511 0.082 0.120
O 0.511 0.418 0.120
O 0.521 0.750 0.105
O 0.527 0.089 0.627
O 0.527 0.411 0.627
O 0.536 0.750 0.661
O 0.736 0.250 0.254
O 0.736 0.750 0.494
O 0.743 0.093 0.491
O 0.743 0.407 0.491
O 0.748 0.583 0.251
O 0.748 0.917 0.251
O 0.752 0.083 0.751
O 0.752 0.417 0.751
O 0.757 0.593 0.991
O 0.757 0.907 0.991
O 0.764 0.250 0.994
O 0.764 0.750 0.754
O 0.964 0.250 0.161
O 0.973 0.589 0.127
O 0.973 0.911 0.127
O 0.979 0.250 0.605
O 0.989 0.582 0.620
O 0.989 0.918 0.620

---

no.,E_tot (eV/atom)
1,-3.870
2,-7.432